Model w:
Material: K2NdAgBr6
Method: DFT, PBE-GGA
State: optimized geometry

Unit cell a=8.086 b=8.086 c=8.086 alpha=60.00 beta=60.00 gamma=60.00
Element x y z (fractional)
K1 0.750 0.750 0.750
K2 0.250 0.250 0.250
Nd1 0.500 0.500 0.500
Ag1 0.000 0.000 0.000
Br1 0.751 0.249 0.249
Br2 0.249 0.249 0.751
Br3 0.249 0.751 0.751
Br4 0.249 0.751 0.249
Br5 0.751 0.249 0.751
Br6 0.751 0.751 0.249



Model x:
Material: K2NdAgBr6
Method: DFT, PBE-GGA
State: optimized geometry

Unit cell a=7.722 b=8.161 c=10.964 alpha=90.00 beta=90.82 gamma=90.00
Element x y z (fractional)
K1 0.027 0.920 0.247
K2 0.527 0.580 0.747
K3 0.973 0.080 0.753
K4 0.473 0.420 0.253
Nd1 0.500 0.000 0.000
Nd2 0.000 0.500 0.500
Ag1 0.500 0.000 0.500
Ag2 0.000 0.500 0.000
Br1 0.310 0.701 0.054
Br2 0.810 0.799 0.554
Br3 0.690 0.299 0.946
Br4 0.190 0.201 0.446
Br5 0.304 0.694 0.445
Br6 0.804 0.806 0.945
Br7 0.696 0.306 0.555
Br8 0.196 0.194 0.055
Br9 0.890 0.529 0.246
Br10 0.390 0.971 0.746
Br11 0.110 0.471 0.754
Br12 0.610 0.029 0.254



Energy above the most stable structure, in meV/atom: model w 54; model x 0



Model w:
Material: KAg2BrO
Method: DFT, PBE-GGA
State: optimized geometry

Unit cell a=5.184 b=6.630 c=5.184 alpha=90.00 beta=90.00 gamma=90.00
Last column: magnetic moment on the atom in μB.
Element x y z (fractional)
O1 0.500 0.500 0.500  -0.79
K1 0.000 0.500 0.000  0.00
Br1 0.000 0.000 0.000  0.00
Ag1 0.000 0.000 0.500  -0.01
Ag2 0.500 0.000 0.000  0.00



Model x:
Material: KAg2BrO
Method: DFT, PBE-GGA
State: optimized geometry

Unit cell a=3.968 b=7.608 c=7.890 alpha=90.00 beta=90.00 gamma=105.12
Element x y z (fractional)
K1 0.468 0.935 0.750
K2 0.532 0.065 0.250
Ag1 0.139 0.278 0.932
Ag2 0.861 0.722 0.068
Ag3 0.139 0.278 0.568
Ag4 0.861 0.722 0.432
Br1 0.750 0.499 0.750
Br2 0.250 0.501 0.250
O1 0.000 0.000 0.000
O2 0.000 0.000 0.500



Energy above the most stable structure, in meV/atom: model w 745; model x 0



Model w:
Material: K2AgSbBr6
Method: DFT, PBE-GGA
State: optimized geometry

Unit cell a=7.652 b=8.024 c=10.915 alpha=90.00 beta=89.60 gamma=90.00
Element x y z (fractional)
K1 0.026 0.922 0.252
K2 0.526 0.578 0.752
K3 0.974 0.078 0.748
K4 0.474 0.422 0.248
Ag1 0.500 0.000 0.000
Ag2 0.000 0.500 0.500
Sb1 0.500 0.000 0.500
Sb2 0.000 0.500 0.000
Br1 0.301 0.696 0.050
Br2 0.801 0.804 0.550
Br3 0.699 0.304 0.950
Br4 0.199 0.196 0.450
Br5 0.308 0.704 0.452
Br6 0.808 0.796 0.952
Br7 0.692 0.296 0.548
Br8 0.192 0.204 0.048
Br9 0.900 0.521 0.250
Br10 0.400 0.979 0.750
Br11 0.100 0.479 0.750
Br12 0.600 0.021 0.250



Model x:
Material: K2AgSbBr6
Method: DFT, PBE-GGA
State: optimized geometry

Unit cell a=7.949 b=7.949 c=7.949 alpha=60.00 beta=60.00 gamma=60.00
Element x y z (fractional)
K1 0.750 0.750 0.750
K2 0.250 0.250 0.250
Ag1 0.500 0.500 0.500
Sb1 0.000 0.000 0.000
Br1 0.750 0.250 0.250
Br2 0.250 0.250 0.750
Br3 0.250 0.750 0.750
Br4 0.250 0.750 0.250
Br5 0.750 0.250 0.750
Br6 0.750 0.750 0.250



Energy above the most stable structure, in meV/atom: model w 0; model x 40